# Mn3ReAs | Alexandria via LeMat-Bulk | PBE | optimized geometry
# ΔH_f (0 K) = 1.27 eV per atom
data_Mn3ReAs
_chemical_formula_sum 'Mn3 Re1 As1'
_cell_length_a 4.6348
_cell_length_b 4.6348
_cell_length_c 4.6348
_cell_angle_alpha 90.00
_cell_angle_beta 90.00
_cell_angle_gamma 90.00
_symmetry_space_group_name_H-M 'P m -3 m'
_symmetry_Int_Tables_number 221
_symmetry_space_group_name_Hall '-P 4 2 3'
loop_
_atom_site_label
_atom_site_fract_x
_atom_site_fract_y
_atom_site_fract_z
_atom_site_occupancy
Mn1 0.0000 0.0000 0.5000 1
Re1 0.0000 0.0000 0.0000 1
As1 0.5000 0.5000 0.5000 1



# MgBiN2 | Alexandria via LeMat-Bulk | PBE | optimized geometry
# Formation energy (no corrections) = 0.627 eV per atom
data_MgBiN2
_chemical_formula_sum 'Mg3 Bi3 N6'
_cell_length_a 3.5715
_cell_length_b 3.5715
_cell_length_c 18.9923
_cell_angle_alpha 90.00
_cell_angle_beta 90.00
_cell_angle_gamma 120.00
_symmetry_space_group_name_H-M 'R -3 m'
_symmetry_Int_Tables_number 166
_symmetry_space_group_name_Hall '-R 3 2"'
loop_
_atom_site_label
_atom_site_fract_x
_atom_site_fract_y
_atom_site_fract_z
_atom_site_occupancy
Mg1 0.0000 0.0000 0.0000 1
Bi1 0.0000 0.0000 0.5000 1
N1 0.0000 0.0000 0.1035 1



# CuSiB | Alexandria via LeMat-Bulk | PBE | optimized geometry
# Formation energy (no corrections) = 0.241 eV per atom
data_CuSiB
_chemical_formula_sum 'Cu2 Si2 B2'
_cell_length_a 3.4391
_cell_length_b 4.3780
_cell_length_c 5.4160
_cell_angle_alpha 70.57
_cell_angle_beta 74.16
_cell_angle_gamma 80.65
_symmetry_space_group_name_H-M 'P 1'
_symmetry_Int_Tables_number 1
_symmetry_space_group_name_Hall 'P 1'
loop_
_atom_site_label
_atom_site_fract_x
_atom_site_fract_y
_atom_site_fract_z
_atom_site_occupancy
Cu1 0.0000 0.0000 0.0000 1
Cu2 0.4308 0.6827 0.3501 1
Si1 0.7985 0.1595 0.3812 1
Si2 0.9313 0.5625 0.8107 1
B1 0.1998 0.2172 0.5758 1
B2 0.4246 0.8211 0.7134 1



# Pr2Nd8Er3 | Alexandria via LeMat-Bulk | PBE | optimized geometry
# ΔH_f (0 K) = 0.16 eV per atom
data_Pr2Nd8Er3
_chemical_formula_sum 'Pr4 Nd16 Er6'
_cell_length_a 13.5119
_cell_length_b 11.8392
_cell_length_c 6.1706
_cell_angle_alpha 90.00
_cell_angle_beta 113.94
_cell_angle_gamma 90.00
_symmetry_space_group_name_H-M 'C 1 2/m 1'
_symmetry_Int_Tables_number 12
_symmetry_space_group_name_Hall '-C 2y'
loop_
_atom_site_label
_atom_site_fract_x
_atom_site_fract_y
_atom_site_fract_z
_atom_site_occupancy
Pr1 0.1887 0.0000 0.3411 1
Nd1 0.0852 0.0000 0.7638 1
Nd2 0.1377 0.5000 0.1059 1
Nd3 0.1617 0.2614 0.6570 1
Er1 0.0000 0.2360 0.0000 1
Er2 0.0000 0.5000 0.5000 1



# Mg2GePt8 | Alexandria via LeMat-Bulk | PBE | optimized geometry
# ΔH_f (0 K) = -0.44 eV per atom
data_Mg2GePt8
_chemical_formula_sum 'Mg4 Ge2 Pt16'
_cell_length_a 4.5246
_cell_length_b 5.6929
_cell_length_c 13.8075
_cell_angle_alpha 90.00
_cell_angle_beta 90.00
_cell_angle_gamma 90.00
_symmetry_space_group_name_H-M 'I m m m'
_symmetry_Int_Tables_number 71
_symmetry_space_group_name_Hall '-I 2 2'
loop_
_atom_site_label
_atom_site_fract_x
_atom_site_fract_y
_atom_site_fract_z
_atom_site_occupancy
Mg1 0.0000 0.0000 0.1907 1
Ge1 0.0000 0.0000 0.5000 1
Pt1 0.0000 0.2397 0.0000 1
Pt2 0.0000 0.2623 0.3614 1
Pt3 0.0000 0.5000 0.1798 1



# GaSn3P | Alexandria via LeMat-Bulk | PBE | optimized geometry
# ΔH_f (0 K) = 0.67 eV per atom
data_GaSn3P
_chemical_formula_sum 'Ga1 Sn3 P1'
_cell_length_a 5.2494
_cell_length_b 5.2494
_cell_length_c 5.2494
_cell_angle_alpha 90.00
_cell_angle_beta 90.00
_cell_angle_gamma 90.00
_symmetry_space_group_name_H-M 'P m -3 m'
_symmetry_Int_Tables_number 221
_symmetry_space_group_name_Hall '-P 4 2 3'
loop_
_atom_site_label
_atom_site_fract_x
_atom_site_fract_y
_atom_site_fract_z
_atom_site_occupancy
Ga1 0.0000 0.0000 0.0000 1
Sn1 0.0000 0.0000 0.5000 1
P1 0.5000 0.5000 0.5000 1



# Pm3PrY6 | Alexandria via LeMat-Bulk | PBE | optimized geometry
# ΔH_f (0 K) = 0.14 eV per atom
data_Pm3PrY6
_chemical_formula_sum 'Pm12 Pr4 Y24'
_cell_length_a 11.0334
_cell_length_b 18.9994
_cell_length_c 6.4259
_cell_angle_alpha 90.00
_cell_angle_beta 90.00
_cell_angle_gamma 90.00
_symmetry_space_group_name_H-M 'C m c 21'
_symmetry_Int_Tables_number 36
_symmetry_space_group_name_Hall 'C 2c -2'
loop_
_atom_site_label
_atom_site_fract_x
_atom_site_fract_y
_atom_site_fract_z
_atom_site_occupancy
Pm1 0.0000 0.1121 0.0000 1
Pm2 0.1791 0.3866 0.6095 1
Pr1 0.0000 0.3061 0.9281 1
Y1 0.0000 0.2305 0.4092 1
Y2 0.0000 0.4596 0.2039 1
Y3 0.1664 0.0442 0.5224 1
Y4 0.2376 0.2081 0.6980 1



# Pm5Nd5Sm2 | Alexandria via LeMat-Bulk | PBE | optimized geometry
# ΔH_f (0 K) = 0.01 eV per atom
data_Pm5Nd5Sm2
_chemical_formula_sum 'Pm10 Nd10 Sm4'
_cell_length_a 15.5369
_cell_length_b 5.1729
_cell_length_c 11.5828
_cell_angle_alpha 90.00
_cell_angle_beta 116.55
_cell_angle_gamma 90.00
_symmetry_space_group_name_H-M 'C 1 2/m 1'
_symmetry_Int_Tables_number 12
_symmetry_space_group_name_Hall '-C 2y'
loop_
_atom_site_label
_atom_site_fract_x
_atom_site_fract_y
_atom_site_fract_z
_atom_site_occupancy
Pm1 0.0000 0.0000 0.0000 1
Pm2 0.0827 0.0000 0.7496 1
Pm3 0.1668 0.0000 0.5001 1
Nd1 0.0000 0.5000 0.5000 1
Nd2 0.1660 0.5000 0.9996 1
Nd3 0.2497 0.0000 0.2502 1
Sm1 0.0834 0.5000 0.2505 1



The following total magnetic moment values (in μB per formula unit) correspond, in order, to the records above: 8.35; 0.00; 0.00; 0.00; 0.00; 0.00; 0.00; 0.00.